Entry 1:
DFT (GGA-PBE) results for a relaxed KGdP4O12 crystal.

Summary:
Its uncorrected formation energy is -236 kJ per mole of atoms. The space-group type is C2/c, No. 15.

The structure in extended XYZ format:
```
36
Lattice="7.506 -0.007 0.003 -3.222 6.779 0.003 2.032 3.213 9.960" Properties=species:S:1:pos:R:3 pbc="T T T"
K 7.000 3.687 7.473
K -0.684 6.298 2.493
Gd 6.719 1.616 2.493
Gd -0.403 8.370 7.473
P 4.498 6.480 5.485
P 1.818 3.506 4.480
P 1.564 6.458 5.031
P 4.149 2.573 0.051
P 3.405 4.751 9.461
P 4.753 3.527 4.934
P 2.911 5.234 0.505
P 2.167 7.412 9.914
O 1.701 3.043 5.908
O 1.004 1.234 0.928
O 5.848 3.293 3.934
O 2.931 6.255 5.849
O 3.347 6.130 1.611
O 0.468 6.692 6.031
O 2.936 6.264 9.097
O 1.196 2.729 3.374
O 1.247 5.009 4.363
O 2.969 3.856 8.354
O 1.487 8.302 8.914
O 1.309 5.107 0.622
O 5.008 4.879 9.343
O 5.121 7.257 6.591
O 4.615 6.943 4.058
O 4.830 1.684 1.051
O 4.599 2.598 6.103
O 1.718 7.387 3.862
O 5.070 4.977 5.603
O -0.639 3.662 1.123
O 5.312 8.751 9.038
O 3.380 3.722 0.868
O 3.386 3.730 4.117
O 6.955 6.323 8.842
```

***

Entry 2:
DFT (GGA-PBE) results for a relaxed KGdP4O12 crystal.

Summary:
Its uncorrected formation energy is -236 kJ per mole of atoms. The space-group type is P2_1, No. 4.

The structure in extended XYZ format:
```
36
Lattice="-2.373 4.839 6.578 -6.644 -3.193 -0.048 2.459 -5.693 5.075" Properties=species:S:1:pos:R:3 pbc="T T T"
K -2.121 -0.341 4.305
K -5.332 -1.883 9.778
Gd -1.502 -1.438 8.782
Gd -5.065 -2.591 2.848
P -5.616 1.902 6.223
P -1.548 -4.715 7.060
P -3.791 -2.968 6.325
P -7.338 -0.201 4.894
P 1.147 -4.596 5.692
P -1.232 2.183 7.882
P -1.587 -3.488 2.006
P -6.055 -4.745 5.742
O -0.460 0.503 1.705
O -5.057 -3.899 6.681
O -6.036 0.651 5.296
O -0.396 -4.956 5.959
O -4.648 -4.833 1.955
O -0.376 -2.444 1.802
O -2.642 -4.080 6.055
O -5.879 -4.997 9.293
O -0.824 0.744 8.027
O -6.840 -1.424 4.191
O -4.037 -2.231 5.045
O -6.005 -4.240 4.328
O -2.531 -2.748 10.417
O -0.757 -1.566 6.452
O -5.355 -6.187 5.826
O -2.642 -2.769 2.788
O -4.394 -2.473 0.484
O 1.418 -4.943 4.261
O -4.487 -0.363 2.460
O -3.466 -2.197 7.568
O -3.433 0.042 9.087
O -4.460 1.140 7.056
O -1.401 2.543 6.327
O -1.086 -3.773 8.131
```

***

Table of uncorrected energy (eV for the cell shown), in record order: -280.60; -280.58